# ReHg4Pt (PBE, optimized geometry)
# M_tot, μB/cell: 3.3
# Energy, eV per atom: -2.163
# ρ, g cm⁻³: 15.71
# Density of states at the Fermi level, states/eV/cell: 4.97
# Energy of formation from the pure elements, meV/atom: 1120.0
# Space-group type: No. 216
data_ReHg4Pt
_cell_length_a 5.614
_cell_length_b 5.614
_cell_length_c 5.614
_cell_angle_alpha 60.00
_cell_angle_beta 60.00
_cell_angle_gamma 60.00
_symmetry_space_group_name_H-M 'P 1'
_symmetry_Int_Tables_number 1
_symmetry_space_group_name_Hall 'P 1'
loop_
_atom_site_label
_atom_site_type_symbol
_atom_site_fract_x
_atom_site_fract_y
_atom_site_fract_z
Re1 Re 0.000 0.000 0.000
Hg1 Hg 0.375 0.375 0.375
Hg2 Hg 0.375 0.875 0.375
Hg3 Hg 0.875 0.375 0.375
Hg4 Hg 0.375 0.375 0.875
Pt1 Pt 0.750 0.750 0.750